No. 1
VASP calculation (PBE-GGA) on crystalline SrTcN2 at its relaxed geometry.

As for the raw total energy: -7.5089 eV/atom.

Unit cell a=3.8282 b=3.8282 c=7.9568 alpha=90.00 beta=90.00 gamma=90.00
Space group P4/nmm (No. 129, origin choice 2)
Symmetry-distinct sites (fractional):
Sr1 0.2500 0.2500 0.1600 (multiplicity 2)
Tc1 0.2500 0.2500 0.6036 (multiplicity 2)
N1 0.2500 0.2500 0.8365 (multiplicity 2)
N2 0.2500 0.7500 0.5000 (multiplicity 2)

No. 2
VASP calculation (PBE-GGA) on crystalline GeIrOs2 at its relaxed geometry.

As for the raw total energy: -8.3677 eV/atom.

Unit cell a=6.2079 b=6.2079 c=6.2079 alpha=90.00 beta=90.00 gamma=90.00
Space group F-43m (No. 216)
Symmetry-distinct sites (fractional):
Ge1 0.0000 0.0000 0.0000 (multiplicity 4)
Ir1 0.2500 0.2500 0.2500 (multiplicity 4)
Os1 0.0000 0.0000 0.5000 (multiplicity 4)
Os2 0.2500 0.2500 0.7500 (multiplicity 4)

No. 3
VASP calculation (PBE-GGA) on crystalline BeZnCoGe at its relaxed geometry.

Its energy above the most stable polymorph in this dataset is 24 meV per atom. As for the raw total energy: -4.0208 eV/atom.

Unit cell a=5.7395 b=5.7395 c=5.7395 alpha=90.00 beta=90.00 gamma=90.00
Space group F-43m (No. 216)
Symmetry-distinct sites (fractional):
Be1 0.0000 0.0000 0.0000 (multiplicity 4)
Zn1 0.2500 0.2500 0.2500 (multiplicity 4)
Co1 0.2500 0.2500 0.7500 (multiplicity 4)
Ge1 0.0000 0.0000 0.5000 (multiplicity 4)

No. 4
VASP calculation (PBE-GGA) on crystalline NbCo2Ni at its relaxed geometry.

For the formation energy, the calculation gives 0.0401 eV per atom. As for the raw total energy: -7.4286 eV/atom.

Unit cell a=5.8453 b=5.8453 c=5.8453 alpha=90.00 beta=90.00 gamma=90.00
Space group F-43m (No. 216)
Symmetry-distinct sites (fractional):
Nb1 0.0000 0.0000 0.0000 (multiplicity 4)
Co1 0.0000 0.0000 0.5000 (multiplicity 4)
Co2 0.2500 0.2500 0.7500 (multiplicity 4)
Ni1 0.2500 0.2500 0.2500 (multiplicity 4)

No. 5
VASP calculation (PBE-GGA) on crystalline Sn2HgPt at its relaxed geometry.

As for the raw total energy: -3.4541 eV/atom.

Unit cell a=7.0759 b=7.0759 c=7.0759 alpha=90.00 beta=90.00 gamma=90.00
Space group F-43m (No. 216)
Symmetry-distinct sites (fractional):
Sn1 0.0000 0.0000 0.0000 (multiplicity 4)
Sn2 0.2500 0.2500 0.2500 (multiplicity 4)
Hg1 0.2500 0.2500 0.7500 (multiplicity 4)
Pt1 0.0000 0.0000 0.5000 (multiplicity 4)

No. 6
VASP calculation (PBE-GGA) on crystalline PrSmAs at its relaxed geometry.

As for the raw total energy: -5.5401 eV/atom.

Unit cell a=7.0500 b=7.0500 c=7.0500 alpha=90.00 beta=90.00 gamma=90.00
Space group F-43m (No. 216)
Symmetry-distinct sites (fractional):
Pr1 0.0000 0.0000 0.0000 (multiplicity 4)
Sm1 0.0000 0.0000 0.5000 (multiplicity 4)
As1 0.2500 0.2500 0.2500 (multiplicity 4)